Record 1
Material: CsTmCl3
Method: DFT, PBE
State: optimized geometry

Values from the calculation:
SG: Pm-3m
Calculated total energy in eV/cell: -20.2
Total magnetic moment in μB/atom: 0.00

a = 5.2804 Å, b = 5.2804 Å, c = 5.2804 Å
α = 90.00°, β = 90.00°, γ = 90.00°
With the nearest neighbours (Å) after each atom.
Positions (direct):
1 Cs 0.0000 0.0000 0.0000  12 Cl 3.73
2 Tm 0.5000 0.5000 0.5000  6 Cl 2.64
3 Cl 0.0000 0.5000 0.5000  2 Tm 2.64
4 Cl 0.5000 0.0000 0.5000  2 Tm 2.64
5 Cl 0.5000 0.5000 0.0000  2 Tm 2.64

=====

Record 2
Material: Cs3UCl6
Method: DFT, PBE
State: optimized geometry

Values from the calculation:
SG: Fm-3m
Calculated total energy in eV/cell: -43.2
Total magnetic moment in μB/atom: 0.30

a = 8.4426 Å, b = 8.4426 Å, c = 8.4426 Å
α = 60.00°, β = 60.00°, γ = 60.00°
With the nearest neighbours (Å) after each atom.
Positions (direct):
1 Cs 0.0000 0.0000 0.0000  6 Cl 3.24
2 Cs 0.2500 0.2500 0.2500  12 Cl 4.23
3 Cs 0.7500 0.7500 0.7500  12 Cl 4.23
4 U 0.5000 0.5000 0.5000  6 Cl 2.73
5 Cl 0.2711 0.2711 0.7289  1 U 2.73
6 Cl 0.2711 0.7289 0.2711  1 U 2.73
7 Cl 0.2711 0.7289 0.7289  1 U 2.73
8 Cl 0.7289 0.2711 0.2711  1 U 2.73
9 Cl 0.7289 0.2711 0.7289  1 U 2.73
10 Cl 0.7289 0.7289 0.2711  1 U 2.73

=====

Record 3
Material: CsW3Cl9
Method: DFT, PBE
State: optimized geometry

Values from the calculation:
SG: P-3
Calculated total energy in eV/cell: -137.7
Total magnetic moment in μB/atom: 0.15

a = 9.5589 Å, b = 9.5589 Å, c = 8.5208 Å
α = 90.00°, β = 90.00°, γ = 120.00°
With the nearest neighbours (Å) after each atom.
Positions (direct):
1 Cs 0.3333 0.6667 0.0972  9 Cl 3.55-3.88
2 Cs 0.6667 0.3333 0.9028  9 Cl 3.55-3.88
3 W 0.0286 0.8366 0.6277  5 Cl 2.41-2.49
4 W 0.1634 0.1920 0.6277  5 Cl 2.41-2.49
5 W 0.1920 0.0286 0.3723  5 Cl 2.41-2.49
6 W 0.8080 0.9714 0.6277  5 Cl 2.41-2.49
7 W 0.8366 0.8080 0.3723  5 Cl 2.41-2.49
8 W 0.9714 0.1634 0.3723  5 Cl 2.41-2.49
9 Cl 0.0317 0.8171 0.1854  2 W 2.42
10 Cl 0.0609 0.6464 0.8028  1 W 2.49
11 Cl 0.1565 0.4138 0.5003  2 W 2.41
12 Cl 0.1829 0.2146 0.1854  2 W 2.42
13 Cl 0.2146 0.0317 0.8146  2 W 2.42
14 Cl 0.2573 0.8435 0.5003  2 W 2.41
15 Cl 0.3536 0.4145 0.8028  1 W 2.49
16 Cl 0.4138 0.2573 0.4997  2 W 2.41
17 Cl 0.4145 0.0609 0.1972  1 W 2.49
18 Cl 0.5855 0.9391 0.8028  1 W 2.49
19 Cl 0.5862 0.7427 0.5003  2 W 2.41
20 Cl 0.6464 0.5855 0.1972  1 W 2.49
21 Cl 0.7427 0.1565 0.4997  2 W 2.41
22 Cl 0.7854 0.9683 0.1854  2 W 2.42
23 Cl 0.8171 0.7854 0.8146  2 W 2.42
24 Cl 0.8435 0.5862 0.4997  2 W 2.41
25 Cl 0.9391 0.3536 0.1972  1 W 2.49
26 Cl 0.9683 0.1829 0.8146  2 W 2.42

=====

Record 4
Material: Cs2ZnCl4
Method: DFT, PBE
State: optimized geometry

Values from the calculation:
SG: P2_1/c
Calculated total energy in eV/cell: -89.1

a = 7.5399 Å, b = 9.6791 Å, c = 15.1030 Å
α = 90.00°, β = 118.53°, γ = 90.00°
With the nearest neighbours (Å) after each atom.
Positions (direct):
1 Cs 0.0418 0.0080 0.3178  8 Cl 3.44-3.65
2 Cs 0.0418 0.4920 0.8178  8 Cl 3.44-3.65
3 Cs 0.3580 0.1301 0.0984  7 Cl 3.52-3.76, 1 Zn 3.92
4 Cs 0.3580 0.3699 0.5984  7 Cl 3.52-3.76, 1 Zn 3.92
5 Cs 0.6420 0.6301 0.4016  7 Cl 3.52-3.76, 1 Zn 3.92
6 Cs 0.6420 0.8699 0.9016  7 Cl 3.52-3.76, 1 Zn 3.92
7 Cs 0.9582 0.5080 0.1822  8 Cl 3.44-3.65
8 Cs 0.9582 0.9920 0.6822  8 Cl 3.44-3.65
9 Zn 0.3301 0.7259 0.0815  4 Cl 2.27-2.29
10 Zn 0.3301 0.7741 0.5815  4 Cl 2.27-2.29
11 Zn 0.6699 0.2259 0.4185  4 Cl 2.27-2.29
12 Zn 0.6699 0.2741 0.9185  4 Cl 2.27-2.29
13 Cl 0.1354 0.6723 0.4279  1 Zn 2.29
14 Cl 0.1354 0.8277 0.9279  1 Zn 2.29
15 Cl 0.2334 0.6903 0.6940  1 Zn 2.29
16 Cl 0.2334 0.8097 0.1940  1 Zn 2.29
17 Cl 0.3094 0.0081 0.5806  1 Zn 2.27
18 Cl 0.3094 0.4919 0.0806  1 Zn 2.27
19 Cl 0.3470 0.1973 0.8644  1 Zn 2.29
20 Cl 0.3470 0.3027 0.3644  1 Zn 2.29
21 Cl 0.6530 0.6973 0.6356  1 Zn 2.29
22 Cl 0.6530 0.8027 0.1356  1 Zn 2.29
23 Cl 0.6906 0.5081 0.9194  1 Zn 2.27
24 Cl 0.6906 0.9919 0.4194  1 Zn 2.27
25 Cl 0.7666 0.1903 0.8060  1 Zn 2.29
26 Cl 0.7666 0.3097 0.3060  1 Zn 2.29
27 Cl 0.8646 0.1723 0.0721  1 Zn 2.29
28 Cl 0.8646 0.3277 0.5721  1 Zn 2.29

=====

Record 5
Material: CsZnCl3
Method: DFT, PBE
State: optimized geometry

Values from the calculation:
SG: P-1
Calculated total energy in eV/cell: -30.7

a = 5.4792 Å, b = 7.8414 Å, c = 7.8653 Å
α = 77.98°, β = 89.82°, γ = 89.86°
With the nearest neighbours (Å) after each atom.
Positions (direct):
1 Cs 0.2244 0.1930 0.1919  8 Cl 3.58-3.75
2 Cs 0.7756 0.8070 0.8081  8 Cl 3.58-3.75
3 Zn 0.4993 0.6653 0.3365  4 Cl 2.24-2.36
4 Zn 0.5007 0.3347 0.6635  4 Cl 2.24-2.36
5 Cl 0.2736 0.0968 0.6681  1 Zn 2.24
6 Cl 0.2736 0.6727 0.0983  1 Zn 2.24
7 Cl 0.2809 0.5994 0.6011  2 Zn 2.36
8 Cl 0.7191 0.4006 0.3989  2 Zn 2.36
9 Cl 0.7264 0.3273 0.9017  1 Zn 2.24
10 Cl 0.7264 0.9032 0.3319  1 Zn 2.24

=====

Record 6
Material: CsZnCl3
Method: DFT, PBE
State: optimized geometry

Values from the calculation:
SG: R-3m
Calculated total energy in eV/cell: -45.1

a = 9.9348 Å, b = 9.9348 Å, c = 9.9348 Å
α = 42.78°, β = 42.78°, γ = 42.78°
With the nearest neighbours (Å) after each atom.
Positions (direct):
1 Cs 0.0000 0.0000 0.0000  12 Cl 3.62-3.71
2 Cs 0.2193 0.2193 0.2193  12 Cl 3.63-3.72
3 Cs 0.7807 0.7807 0.7807  12 Cl 3.63-3.72
4 Zn 0.3846 0.3846 0.3846  6 Cl 2.50-2.51
5 Zn 0.5000 0.5000 0.5000  6 Cl 2.48
6 Zn 0.6155 0.6155 0.6155  6 Cl 2.50-2.51
7 Cl 0.0000 0.5000 0.5000  2 Zn 2.51
8 Cl 0.2480 0.7118 0.7118  2 Zn 2.48-2.50
9 Cl 0.2882 0.2882 0.7520  2 Zn 2.48-2.50
10 Cl 0.2882 0.7520 0.2882  2 Zn 2.48-2.50
11 Cl 0.5000 0.0000 0.5000  2 Zn 2.51
12 Cl 0.5000 0.5000 0.0000  2 Zn 2.51
13 Cl 0.7118 0.2480 0.7118  2 Zn 2.48-2.50
14 Cl 0.7118 0.7118 0.2480  2 Zn 2.48-2.50
15 Cl 0.7520 0.2882 0.2882  2 Zn 2.48-2.50

=====

Record 7
Material: Cs2ZnCl4
Method: DFT, PBE
State: optimized geometry

Values from the calculation:
SG: Pnma
Calculated total energy in eV/cell: -89.1

a = 9.8491 Å, b = 7.3530 Å, c = 13.1016 Å
α = 90.00°, β = 90.00°, γ = 90.00°
With the nearest neighbours (Å) after each atom.
Positions (direct):
1 Cs 0.0180 0.2500 0.1726  9 Cl 3.48-3.82
2 Cs 0.1368 0.7500 0.4035  8 Cl 3.60-3.96, 1 Zn 3.99
3 Cs 0.3632 0.2500 0.9035  8 Cl 3.60-3.96, 1 Zn 3.99
4 Cs 0.4820 0.7500 0.6726  9 Cl 3.48-3.82
5 Cs 0.5180 0.2500 0.3274  9 Cl 3.48-3.82
6 Cs 0.6368 0.7500 0.0965  8 Cl 3.60-3.96, 1 Zn 3.99
7 Cs 0.8632 0.2500 0.5965  8 Cl 3.60-3.96, 1 Zn 3.99
8 Cs 0.9820 0.7500 0.8274  9 Cl 3.48-3.82
9 Zn 0.2326 0.7500 0.0772  4 Cl 2.28-2.29
10 Zn 0.2674 0.2500 0.5772  4 Cl 2.28-2.29
11 Zn 0.7326 0.7500 0.4228  4 Cl 2.28-2.29
12 Zn 0.7674 0.2500 0.9228  4 Cl 2.28-2.29
13 Cl 0.0024 0.7500 0.0938  1 Zn 2.28
14 Cl 0.1780 0.5006 0.6552  1 Zn 2.28
15 Cl 0.1780 0.9994 0.6552  1 Zn 2.28
16 Cl 0.1843 0.2500 0.4141  1 Zn 2.29
17 Cl 0.3157 0.7500 0.9141  1 Zn 2.29
18 Cl 0.3220 0.0006 0.1552  1 Zn 2.28
19 Cl 0.3220 0.4994 0.1552  1 Zn 2.28
20 Cl 0.4976 0.2500 0.5938  1 Zn 2.28
21 Cl 0.5024 0.7500 0.4062  1 Zn 2.28
22 Cl 0.6780 0.5006 0.8448  1 Zn 2.28
23 Cl 0.6780 0.9994 0.8448  1 Zn 2.28
24 Cl 0.6843 0.2500 0.0859  1 Zn 2.29
25 Cl 0.8157 0.7500 0.5859  1 Zn 2.29
26 Cl 0.8220 0.0006 0.3448  1 Zn 2.28
27 Cl 0.8220 0.4994 0.3448  1 Zn 2.28
28 Cl 0.9976 0.2500 0.9062  1 Zn 2.28

=====

Record 8
Material: CsZnCl3
Method: DFT, PBE
State: optimized geometry

Values from the calculation:
SG: P2_1/c
Calculated total energy in eV/cell: -59.6

a = 5.4035 Å, b = 7.8188 Å, c = 17.0443 Å
α = 90.00°, β = 101.34°, γ = 90.00°
With the nearest neighbours (Å) after each atom.
Positions (direct):
1 Cs 0.0970 0.0128 0.3493  8 Cl 3.46-3.77, 1 Zn 3.79
2 Cs 0.0970 0.4872 0.8493  8 Cl 3.46-3.77, 1 Zn 3.79
3 Cs 0.9030 0.5128 0.1507  8 Cl 3.46-3.77, 1 Zn 3.79
4 Cs 0.9030 0.9872 0.6507  8 Cl 3.46-3.77, 1 Zn 3.79
5 Zn 0.3101 0.1267 0.1314  3 Cl 2.18-2.22
6 Zn 0.3101 0.3733 0.6314  3 Cl 2.18-2.22
7 Zn 0.6899 0.6267 0.3686  3 Cl 2.18-2.22
8 Zn 0.6899 0.8733 0.8686  3 Cl 2.18-2.22
9 Cl 0.0291 0.0286 0.8745  1 Zn 2.18
10 Cl 0.0291 0.4714 0.3745  1 Zn 2.18
11 Cl 0.3623 0.1896 0.5380  1 Zn 2.20
12 Cl 0.3623 0.3104 0.0380  1 Zn 2.20
13 Cl 0.4713 0.7021 0.2494  1 Zn 2.22
14 Cl 0.4713 0.7979 0.7494  1 Zn 2.22
15 Cl 0.5287 0.2021 0.2506  1 Zn 2.22
16 Cl 0.5287 0.2979 0.7506  1 Zn 2.22
17 Cl 0.6377 0.6896 0.9620  1 Zn 2.20
18 Cl 0.6377 0.8104 0.4620  1 Zn 2.20
19 Cl 0.9709 0.5286 0.6255  1 Zn 2.18
20 Cl 0.9709 0.9714 0.1255  1 Zn 2.18